1.
meta-GGA SCAN Sr2Cu3Cl2O4, PBEsol geometry; E = -13.67 eV/atom; crystal system = tetragonal
1.0
-4.0250 2.6095 -2.5077
-2.9433 -4.5427 -0.0029
1.0386 2.5475 6.8257
Sr Cu Cl O
2 3 2 4
direct
0.6403 0.6403 0.2806 Sr
0.3597 0.3597 0.7194 Sr
0.0000 0.0000 0.0000 Cu
0.0000 0.5000 0.0000 Cu
0.5000 0.0000 0.0000 Cu
0.7500 0.2500 0.5000 Cl
0.2500 0.7500 0.5000 Cl
0.7486 0.2514 0.0000 O
0.2514 0.7486 0.0000 O
0.7486 0.7486 0.0000 O
0.2514 0.2514 0.0000 O

2.
meta-GGA SCAN RbFeF4, PBEsol geometry; E = -11.57 eV/atom; crystal system = tetragonal
1.0
-0.5857 3.4937 -1.6237
-0.7969 -1.7167 -3.4064
-6.1573 -0.2940 1.5887
Fe Rb F
1 1 4
direct
0.5000 0.5000 0.5000 Fe
0.0000 0.0000 0.0000 Rb
0.5000 0.5000 0.7963 F
0.5000 0.5000 0.2037 F
0.5000 0.0000 0.5000 F
0.0000 0.5000 0.5000 F

3.
meta-GGA SCAN TlZnPt3, PBEsol geometry; E = -57.79 eV/atom; energy relative to the elements = 726 kJ/mol of formula units; crystal system = cubic
1.0
-2.0709 -4.4870 -0.2145
2.7882 -1.0988 -3.9353
3.5220 -1.7684 2.9893
Tl Zn Pt
1 1 3
direct
0.0000 0.0000 0.0000 Tl
0.5000 0.5000 0.5000 Zn
0.0000 0.5000 0.0000 Pt
0.0000 0.0000 0.5000 Pt
0.5000 0.0000 0.0000 Pt

4.
meta-GGA SCAN MgFePO2, PBEsol geometry; E = -9.40 eV/atom; crystal system = tetragonal
1.0
3.6769 0.0000 0.0000
0.0000 3.6769 0.0000
0.0000 0.0000 5.2989
P Mg Fe O
1 1 1 2
direct
0.0000 0.0000 0.5000 P
0.0000 0.0000 0.0000 Mg
0.5000 0.5000 0.5000 Fe
0.0000 0.5000 0.0000 O
0.5000 0.0000 0.0000 O

5.
meta-GGA SCAN LiHfTeN2, PBEsol geometry; E = -24.24 eV/atom; crystal system = tetragonal
1.0
4.1245 0.0000 0.0000
0.0000 4.1245 0.0000
0.0000 0.0000 5.8044
Te Hf Li N
1 1 1 2
direct
0.0000 0.0000 0.5000 Te
0.0000 0.0000 0.0000 Hf
0.5000 0.5000 0.5000 Li
0.0000 0.5000 0.0000 N
0.5000 0.0000 0.0000 N

6.
meta-GGA SCAN Li3AlGe, PBEsol geometry; E = -6.58 eV/atom; energy relative to the elements = 106 kJ/mol of formula units; crystal system = cubic
1.0
4.7174 0.0000 0.0000
0.0000 4.7174 0.0000
0.0000 0.0000 4.7174
Ge Al Li
1 1 3
direct
0.0000 0.0000 0.0000 Ge
0.5000 0.5000 0.5000 Al
0.0000 0.5000 0.0000 Li
0.0000 0.0000 0.5000 Li
0.5000 0.0000 0.0000 Li

7.
meta-GGA SCAN AlHgI2N, PBEsol geometry; E = -30.89 eV/atom; crystal system = tetragonal
1.0
-2.5020 0.2963 -3.2332
2.1265 -5.2491 -2.1266
-4.2941 -2.9755 3.0503
I N Hg Al
2 1 1 1
direct
0.0000 0.0000 0.5000 I
0.0000 0.5000 0.0000 I
0.5000 0.0000 0.0000 N
0.0000 0.0000 0.0000 Hg
0.5000 0.5000 0.5000 Al

8.
meta-GGA SCAN InNiBr, PBEsol geometry; E = -22.86 eV/atom; crystal system = tetragonal
1.0
3.2597 0.0000 0.0000
0.0000 3.2597 0.0000
-1.6299 -1.6299 5.5363
Br In Ni
1 1 1
direct
0.9705 0.9705 0.9410 Br
0.7065 0.7065 0.4130 In
0.3230 0.3230 0.6460 Ni